Computed, not measured: crystalline NaBi2Pb2 at its relaxed geometry at the PBEsol level of DFT.

Size of the total moment = 0.00 μB/cell
DFT total energy = -36.4 eV per cell
ΔE_f = -49 meV/atom
Distance to the lowest polymorph of the same formula = 0 meV/atom

abc: 8.842 8.842 4.083
angles: 90.00 90.00 90.00
Positions (direct):
Na 0.000 0.000 0.000
Na 0.500 0.500 0.000
Bi 0.147 0.353 0.000
Bi 0.353 0.853 0.000
Bi 0.647 0.147 0.000
Bi 0.853 0.647 0.000
Pb 0.145 0.645 0.500
Pb 0.355 0.145 0.500
Pb 0.645 0.855 0.500
Pb 0.855 0.355 0.500

***

Computed, not measured: crystalline Re2MoRh at its relaxed geometry at the PBEsol level of DFT.

Size of the total moment = 0.00 μB/cell
DFT total energy = -46.3 eV per cell
ΔE_f = 70 meV/atom
Distance to the lowest polymorph of the same formula = 123 meV/atom

abc: 2.710 2.710 7.903
angles: 90.00 90.00 90.00
Positions (direct):
Re 0.000 0.000 0.244
Re 0.000 0.000 0.756
Mo 0.500 0.500 0.500
Rh 0.500 0.500 0.000